[1]
Dy2ThHg3 | GGA-PBE | optimized geometry Values from VASP.

Results
Energy of formation from the pure elements = -0.385 eV per atom
Space group = No. 123

Quantum ESPRESSO input file:
```
&SYSTEM
  ibrav = 0, nat = 6, ntyp = 3
/
ATOMIC_SPECIES
Dy 162.50 Dy.upf
Th 232.04 Th.upf
Hg 200.59 Hg.upf
CELL_PARAMETERS angstrom
3.633 0.000 0.000
0.000 3.633 0.000
0.000 0.000 11.972
ATOMIC_POSITIONS crystal
Dy 0.000 0.000 0.161
Dy 0.000 0.000 0.839
Th 0.000 0.000 0.500
Hg 0.500 0.500 0.000
Hg 0.500 0.500 0.316
Hg 0.500 0.500 0.684
```


[2]
RbZn2Bi | GGA-PBE | optimized geometry Values from VASP.

Results
Energy of formation from the pure elements = 0.025 eV per atom
Space group = No. 141

Quantum ESPRESSO input file:
```
&SYSTEM
  ibrav = 0, nat = 16, ntyp = 3
/
ATOMIC_SPECIES
Rb 85.47 Rb.upf
Zn 65.41 Zn.upf
Bi 208.98 Bi.upf
CELL_PARAMETERS angstrom
5.447 0.000 0.000
0.000 5.447 0.000
0.000 0.000 20.063
ATOMIC_POSITIONS crystal
Rb 0.000 0.250 0.375
Rb 0.000 0.750 0.625
Rb 0.500 0.250 0.125
Rb 0.500 0.750 0.875
Zn 0.000 0.000 0.000
Zn 0.000 0.500 0.000
Zn 0.250 0.250 0.750
Zn 0.250 0.750 0.250
Zn 0.500 0.000 0.500
Zn 0.500 0.500 0.500
Zn 0.750 0.250 0.750
Zn 0.750 0.750 0.250
Bi 0.000 0.250 0.875
Bi 0.000 0.750 0.125
Bi 0.500 0.250 0.625
Bi 0.500 0.750 0.375
```


[3]
PrEr6Tl4 | GGA-PBE | optimized geometry Values from VASP.

Results
Energy of formation from the pure elements = -0.225 eV per atom
Space group = No. 187

Quantum ESPRESSO input file:
```
&SYSTEM
  ibrav = 0, nat = 11, ntyp = 3
/
ATOMIC_SPECIES
Pr 140.91 Pr.upf
Er 167.26 Er.upf
Tl 204.38 Tl.upf
CELL_PARAMETERS angstrom
10.015 0.000 0.000
-5.007 8.673 0.000
0.000 0.000 3.764
ATOMIC_POSITIONS crystal
Pr 0.000 0.000 0.000
Er 0.192 0.384 0.500
Er 0.192 0.808 0.500
Er 0.539 0.077 0.000
Er 0.539 0.461 0.000
Er 0.616 0.808 0.500
Er 0.923 0.461 0.000
Tl 0.330 0.165 0.500
Tl 0.333 0.667 0.000
Tl 0.835 0.165 0.500
Tl 0.835 0.670 0.500
```


[4]
DyHoGePt | GGA-PBE | optimized geometry Values from VASP.

Results
Energy of formation from the pure elements = -0.947 eV per atom
Space group = No. 216
Excess energy over the best structure of this formula in the dataset = 136.0 meV/atom

Quantum ESPRESSO input file:
```
&SYSTEM
  ibrav = 0, nat = 16, ntyp = 4
/
ATOMIC_SPECIES
Dy 162.50 Dy.upf
Ho 164.93 Ho.upf
Ge 72.64 Ge.upf
Pt 195.08 Pt.upf
CELL_PARAMETERS angstrom
7.066 0.000 0.000
0.000 7.066 0.000
0.000 0.000 7.066
ATOMIC_POSITIONS crystal
Dy 0.000 0.000 0.000
Dy 0.000 0.500 0.500
Dy 0.500 0.000 0.500
Dy 0.500 0.500 0.000
Ho 0.000 0.000 0.500
Ho 0.000 0.500 0.000
Ho 0.500 0.000 0.000
Ho 0.500 0.500 0.500
Ge 0.250 0.250 0.750
Ge 0.250 0.750 0.250
Ge 0.750 0.250 0.250
Ge 0.750 0.750 0.750
Pt 0.250 0.250 0.250
Pt 0.250 0.750 0.750
Pt 0.750 0.250 0.750
Pt 0.750 0.750 0.250
```


[5]
TbSm | GGA-PBE | optimized geometry Values from VASP.

Results
Energy of formation from the pure elements = 0.138 eV per atom
Space group = No. 221
Excess energy over the best structure of this formula in the dataset = 117.6 meV/atom

Quantum ESPRESSO input file:
```
&SYSTEM
  ibrav = 0, nat = 2, ntyp = 2
/
ATOMIC_SPECIES
Tb 158.93 Tb.upf
Sm 150.36 Sm.upf
CELL_PARAMETERS angstrom
4.052 0.000 0.000
0.000 4.052 0.000
0.000 0.000 4.052
ATOMIC_POSITIONS crystal
Tb 0.000 0.000 0.000
Sm 0.500 0.500 0.500
```


[6]
La2CdRhAu | GGA-PBE | optimized geometry Values from VASP.

Results
Energy of formation from the pure elements = -0.703 eV per atom
Space group = No. 11

Quantum ESPRESSO input file:
```
&SYSTEM
  ibrav = 0, nat = 10, ntyp = 4
/
ATOMIC_SPECIES
La 138.91 La.upf
Cd 112.41 Cd.upf
Rh 102.91 Rh.upf
Au 196.97 Au.upf
CELL_PARAMETERS angstrom
7.845 0.000 0.000
0.000 4.242 0.000
-2.918 0.000 7.741
ATOMIC_POSITIONS crystal
La 0.031 0.250 0.224
La 0.358 0.750 0.619
La 0.642 0.250 0.381
La 0.969 0.750 0.776
Cd 0.345 0.250 0.955
Cd 0.655 0.750 0.045
Rh 0.107 0.250 0.614
Rh 0.893 0.750 0.386
Au 0.322 0.750 0.205
Au 0.678 0.250 0.795
```


[7]
YHgHRh2 | GGA-PBE | optimized geometry Values from VASP.

Results
Space group = No. 123
Energy = -26.840 eV per cell

Quantum ESPRESSO input file:
```
&SYSTEM
  ibrav = 0, nat = 5, ntyp = 4
/
ATOMIC_SPECIES
Y 88.91 Y.upf
Hg 200.59 Hg.upf
H 1.01 H.upf
Rh 102.91 Rh.upf
CELL_PARAMETERS angstrom
4.235 0.000 0.000
0.000 4.235 0.000
0.000 0.000 4.209
ATOMIC_POSITIONS crystal
Y 0.000 0.000 0.000
Hg 0.500 0.500 0.000
H 0.000 0.000 0.500
Rh 0.000 0.500 0.500
Rh 0.500 0.000 0.500
```


[8]
Al6Cu12Au | GGA-PBE | optimized geometry Values from VASP.

Results
Energy of formation from the pure elements = 0.059 eV per atom
Space group = No. 166

Quantum ESPRESSO input file:
```
&SYSTEM
  ibrav = 0, nat = 19, ntyp = 3
/
ATOMIC_SPECIES
Al 26.98 Al.upf
Cu 63.55 Cu.upf
Au 196.97 Au.upf
CELL_PARAMETERS angstrom
5.620 3.245 2.568
-5.620 3.245 2.568
0.000 -6.489 2.568
ATOMIC_POSITIONS crystal
Al 0.299 0.697 0.697
Al 0.303 0.303 0.701
Al 0.303 0.701 0.303
Al 0.697 0.299 0.697
Al 0.697 0.697 0.299
Al 0.701 0.303 0.303
Cu 0.108 0.346 0.346
Cu 0.114 0.500 0.886
Cu 0.114 0.886 0.500
Cu 0.346 0.108 0.346
Cu 0.346 0.346 0.108
Cu 0.500 0.114 0.886
Cu 0.500 0.886 0.114
Cu 0.654 0.654 0.892
Cu 0.654 0.892 0.654
Cu 0.886 0.114 0.500
Cu 0.886 0.500 0.114
Cu 0.892 0.654 0.654
Au 0.000 0.000 0.000
```


| no. | M_tot (μB per cell) |
| --- | --- |
| 1 | 0.00 |
| 2 | 0.00 |
| 3 | 2.52 |
| 4 | 0.00 |
| 5 | 0.00 |
| 6 | 0.00 |
| 7 | 0.00 |
| 8 | 0.00 |